# Pr2MnPtO5 | the Alexandria database | PBE with a Hubbard U | relaxed
data_Pr2MnPtO5
_cell_length_a 5.813
_cell_length_b 6.794
_cell_length_c 6.794
_cell_angle_alpha 90.00
_cell_angle_beta 90.00
_cell_angle_gamma 90.00
_space_group_name_H-M_alt 'P 1'
_space_group_IT_number 1
_space_group_name_Hall 'P 1'
loop_
_atom_site_label
_atom_site_type_symbol
_atom_site_fract_x
_atom_site_fract_y
_atom_site_fract_z
_atom_site_occupancy
Pr1 Pr 0.500 0.672 0.172 1
Pr2 Pr 0.500 0.172 0.328 1
Pr3 Pr 0.500 0.828 0.672 1
Pr4 Pr 0.500 0.328 0.828 1
Mn1 Mn 0.000 0.500 0.500 1
Mn2 Mn 0.000 0.000 0.000 1
Pt1 Pt 0.000 0.000 0.500 1
Pt2 Pt 0.000 0.500 0.000 1
O1 O 0.500 0.500 0.500 1
O2 O 0.500 0.000 0.000 1
O3 O 0.245 0.146 0.646 1
O4 O 0.245 0.854 0.354 1
O5 O 0.245 0.354 0.146 1
O6 O 0.245 0.646 0.854 1
O7 O 0.755 0.146 0.646 1
O8 O 0.755 0.646 0.854 1
O9 O 0.755 0.854 0.354 1
O10 O 0.755 0.354 0.146 1
# - DFT total energy (eV/cell) = -131.38
# - symmetry = No. 127